This record from the Alexandria database describes a relaxed structure of CsScBi2. The functional is PBE.

Summary:
Calculated density: 6.11 g/cm³

a b c (Å): 4.7121 4.7121 25.2741
angles (deg): 90.00 90.00 120.00
Space group R-3m (No. 166, hexagonal axes)
Unique sites:
Cs: 0.0000 0.0000 0.0000
Sc: 0.0000 0.0000 0.5000
Bi: 0.0000 0.0000 0.2193

This record from the Alexandria database describes a relaxed structure of HgSbPt2. The functional is PBE.

Summary:
Calculated density: 15.55 g/cm³

a b c (Å): 3.3973 3.4206 6.5484
angles (deg): 90.00 90.03 90.00
Space group P2/m (No. 10)
Unique sites:
Hg: 0.0000 0.0000 0.0000
Sb: 0.0000 0.0000 0.5000
Pt: 0.4973 0.5000 0.2578

This record from the Alexandria database describes a relaxed structure of NpBrF3. The functional is PBE.

Summary:
Calculated density: 4.36 g/cm³

a b c (Å): 7.5357 7.5357 5.7974
angles (deg): 90.00 90.00 120.00
Space group P6_3/mmc (No. 194)
Unique sites:
Np: 0.3333 0.6667 0.2500
Br: 0.3333 0.6667 0.7500
F: 0.1775 0.3551 0.2500

This record from the Alexandria database describes a relaxed structure of NaLiHfBr6. The functional is PBE.

Summary:
Calculated density: 4.18 g/cm³

a b c (Å): 6.9325 6.9325 13.1246
angles (deg): 90.00 90.00 120.00
Space group P-31c (No. 163)
Unique sites:
Na: 0.0000 0.0000 0.0000
Li: 0.3333 0.6667 0.2500
Hf: 0.3333 0.6667 0.7500
Br: 0.0143 0.3666 0.6348

no.,electronic total energy (eV per atom),V (Å³ per cell),Fermi-level density of states (states/eV/f.u.)
1,-4.058,486.01,3.8
2,-4.165,76.10,1.5
3,-6.628,285.11,7.0
4,-4.048,546.25,0.0